[1]
Here is an optimized crystal structure of ZrSe2IBr from Alexandria. Energies are from GGA-PBE.

Computed properties:
Total moment = 0.00 μB per atom
Uncorrected energy = -4.219 eV/atom
E above lowest polymorph = 0.000 kcal/mol of atoms
Raw formation energy = -0.47 eV per atom

a b c (Å): 5.2897 5.2897 5.3364
angles (deg): 90.00 90.00 90.00
Last column: nearest neighbours and their distance in Å.
Space group P4/mmm (No. 123)
One atom of each set of equivalent atoms:
Zr: 0.0000 0.0000 0.0000  4 Se 2.64, 2 Br 2.67
Se: 0.0000 0.5000 0.0000  2 Zr 2.64
I: 0.5000 0.5000 0.5000  4 Br 3.74, 8 Se 3.76
Br: 0.0000 0.0000 0.5000  2 Zr 2.67

***

[2]
Here is an optimized crystal structure of Si2IBr from Alexandria. Energies are from GGA-PBE.

Computed properties:
Total moment = 0.00 μB per atom
Uncorrected energy = -2.783 eV/atom
E above lowest polymorph = 1.674 kcal/mol of atoms
Raw formation energy = 0.73 eV per atom

a b c (Å): 7.2194 7.2194 7.2194
angles (deg): 90.00 90.00 90.00
Last column: nearest neighbours and their distance in Å.
Space group Fm-3m (No. 225)
One atom of each set of equivalent atoms:
Si: 0.2500 0.2500 0.2500  4 Br 3.13, 4 I 3.13
I: 0.0000 0.0000 0.0000  8 Si 3.13
Br: 0.0000 0.0000 0.5000  8 Si 3.13

***

[3]
Here is an optimized crystal structure of SiI3Br from Alexandria. Energies are from GGA-PBE.

Computed properties:
Total moment = 0.24 μB per atom
Uncorrected energy = -2.107 eV/atom
E above lowest polymorph = 16.311 kcal/mol of atoms
Raw formation energy = 0.24 eV per atom

a b c (Å): 5.5556 5.5556 5.5556
angles (deg): 90.00 90.00 90.00
Last column: nearest neighbours and their distance in Å.
Space group Pm-3m (No. 221)
One atom of each set of equivalent atoms:
Si: 0.0000 0.0000 0.0000  6 I 2.78
I: 0.0000 0.0000 0.5000  2 Si 2.78
Br: 0.5000 0.5000 0.5000  12 I 3.93

***

[4]
Here is an optimized crystal structure of Si2IBr from Alexandria. Energies are from GGA-PBE.

Computed properties:
Total moment = 0.00 μB per atom
Uncorrected energy = -2.856 eV/atom
E above lowest polymorph = 0.000 kcal/mol of atoms
Raw formation energy = 0.66 eV per atom

a b c (Å): 7.9285 7.9285 6.8085
angles (deg): 90.00 90.00 90.00
Last column: nearest neighbours and their distance in Å.
Space group I-42d (No. 122)
One atom of each set of equivalent atoms:
Si: 0.2418 0.2500 0.1250  2 Br 2.89, 2 I 2.97
I: 0.0000 0.0000 0.5000  4 Si 2.97
Br: 0.0000 0.0000 0.0000  4 Si 2.89